A plane-wave DFT calculation with GGA-PBE was carried out for an optimized crystal structure of Sm3Be2Pt4.

The final energy is -6.04 eV per atom. The value obtained for the energy of formation from the pure elements is -8.6 eV per formula unit.

The structure belongs to space group C2/m (No. 12); the cell edges are 10.887, 4.064 and 8.507 Å and the angles 90.00°, 107.48° and 90.00°. The distinct sites, in fractional coordinates, are Sm at (0.000, 0.000, 0.000), Sm at (0.165, 0.500, 0.667), Be at (0.113, 0.500, 0.282), Pt at (0.064, 0.000, 0.378) and Pt at (0.209, 0.500, 0.083).

***

A plane-wave DFT calculation with GGA-PBE was carried out for an optimized crystal structure of SmBePt.

The final energy is -5.56 eV per atom. The value obtained for the energy of formation from the pure elements is -2.2 eV per formula unit.

The structure belongs to space group P2_13 (No. 198); the cell edges are 6.151, 6.151 and 6.151 Å and the angles 90.00°, 90.00° and 90.00°. The distinct sites, in fractional coordinates, are Sm at (0.121, 0.121, 0.121), Be at (0.089, 0.589, 0.911) and Pt at (0.177, 0.323, 0.677).

***

A plane-wave DFT calculation with GGA-PBE was carried out for an optimized crystal structure of Sm2Be4Pt5.

The final energy is -5.86 eV per atom. The value obtained for the energy of formation from the pure elements is -9.9 eV per formula unit.

The structure belongs to space group Fmmm (No. 69); the cell edges are 5.525, 9.403 and 13.667 Å and the angles 90.00°, 90.00° and 90.00°. The distinct sites, in fractional coordinates, are Sm at (0.000, 0.000, 0.132), Be at (0.000, 0.163, 0.372), Pt at (0.000, 0.000, 0.500), Pt at (0.250, 0.250, 0.000) and Pt at (0.250, 0.250, 0.250).

***

A plane-wave DFT calculation with GGA-PBE was carried out for an optimized crystal structure of Sm2Be2Pt5.

The final energy is -6.16 eV per atom. The value obtained for the energy of formation from the pure elements is -8.3 eV per formula unit.

The structure belongs to space group P4/mmm (No. 123); the cell edges are 4.112, 4.112 and 9.033 Å and the angles 90.00°, 90.00° and 90.00°. The distinct sites, in fractional coordinates, are Sm at (0.000, 0.000, 0.000), Sm at (0.000, 0.000, 0.500), Be at (0.500, 0.500, 0.141), Pt at (0.000, 0.500, 0.256) and Pt at (0.500, 0.500, 0.500).

***

A plane-wave DFT calculation with GGA-PBE was carried out for an optimized crystal structure of Sm2BePt6.

The final energy is -6.48 eV per atom. The value obtained for the energy of formation from the pure elements is -8.9 eV per formula unit.

The structure belongs to space group C2/m (No. 12); the cell edges are 10.348, 6.025 and 6.036 Å and the angles 90.00°, 123.97° and 90.00°. The distinct sites, in fractional coordinates, are Sm at (0.250, 0.000, 0.244), Be at (0.000, 0.500, 0.000), Pt at (0.003, 0.238, 0.265) and Pt at (0.238, 0.000, 0.733).

***

A plane-wave DFT calculation with GGA-PBE was carried out for an optimized crystal structure of SmBe2Pt8.

The final energy is -5.70 eV per atom. The value obtained for the energy of formation from the pure elements is -2.2 eV per formula unit.

The structure belongs to space group P4/mmm (No. 123); the cell edges are 5.311, 5.311 and 7.588 Å and the angles 90.00°, 90.00° and 90.00°. The distinct sites, in fractional coordinates, are Sm at (0.000, 0.000, 0.000), Be at (0.000, 0.500, 0.500) and Pt at (0.253, 0.253, 0.301).

***

A plane-wave DFT calculation with GGA-PBE was carried out for an optimized crystal structure of SmBePt.

The final energy is -5.63 eV per atom. The value obtained for the energy of formation from the pure elements is -2.4 eV per formula unit.

The structure belongs to space group P-6m2 (No. 187); the cell edges are 4.0604, 4.0604 and 4.0176 Å and the angles 90.00°, 90.00° and 120.00°. The distinct sites, in fractional coordinates, are Sm at (0.0000, 0.0000, 0.0000), Be at (0.3333, 0.6667, 0.5000) and Pt at (0.6667, 0.3333, 0.5000).

***

A plane-wave DFT calculation with GGA-PBE was carried out for an optimized crystal structure of SmBePt.

The final energy is -5.62 eV per atom. The value obtained for the energy of formation from the pure elements is -2.4 eV per formula unit.

The structure belongs to space group C2/m (No. 12); the cell edges are 11.458, 3.771 and 5.561 Å and the angles 90.00°, 108.99° and 90.00°. The distinct sites, in fractional coordinates, are Sm at (0.103, 0.000, 0.305), Be at (0.222, 0.000, 0.893) and Pt at (0.112, 0.500, 0.735).